(1)
Compound: BeCrPd3
Source: Alexandria via LeMat-Bulk
Functional: PBE
Structure: optimized geometry

Cell and atoms, written as POSCAR:
```
BeCrPd3
1.0
4.5319 0.0000 0.0000
0.0000 4.5319 0.0000
0.0000 0.0000 4.5319
Be Cr Pd
1 1 3
Direct
0.0000 0.0000 0.0000 Be
0.5000 0.5000 0.5000 Cr
0.0000 0.5000 0.5000 Pd
0.5000 0.0000 0.5000 Pd
0.5000 0.5000 0.0000 Pd
```

Energy of formation from the pure elements, kJ per mole of atoms: 114.1
Total moment, μB per formula unit: 0.0
Symmetry: No. 221



(2)
Compound: BeCrPd
Source: Alexandria via LeMat-Bulk
Functional: PBE
Structure: optimized geometry

Cell and atoms, written as POSCAR:
```
BeCrPd
1.0
2.9403 0.0000 0.0000
0.0000 3.8221 0.0000
-1.4657 0.0000 6.3429
Be Cr Pd
2 2 2
Direct
0.0792 0.2500 0.1576 Be
0.9208 0.7500 0.8424 Be
0.2591 0.7500 0.5186 Cr
0.7409 0.2500 0.4814 Cr
0.4193 0.2500 0.8393 Pd
0.5807 0.7500 0.1607 Pd
```

Energy of formation from the pure elements, kJ per mole of atoms: -20.8
Total moment, μB per formula unit: 0.0
Symmetry: No. 11



(3)
Compound: Be3CrPd
Source: Alexandria via LeMat-Bulk
Functional: PBE
Structure: optimized geometry

Cell and atoms, written as POSCAR:
```
Be3CrPd
1.0
3.9819 0.0000 0.0000
0.0000 3.9819 0.0000
0.0000 0.0000 3.9819
Be Cr Pd
3 1 1
Direct
0.0000 0.0000 0.5000 Be
0.0000 0.5000 0.0000 Be
0.5000 0.0000 0.0000 Be
0.0000 0.0000 0.0000 Cr
0.5000 0.5000 0.5000 Pd
```

Energy of formation from the pure elements, kJ per mole of atoms: 106.7
Total moment, μB per formula unit: 0.0
Symmetry: No. 221



(4)
Compound: BeCrPd
Source: Alexandria via LeMat-Bulk
Functional: PBE
Structure: optimized geometry

Cell and atoms, written as POSCAR:
```
BeCrPd
1.0
0.0000 3.7298 4.2254
2.1955 0.0000 4.2254
2.1955 3.7298 0.0000
Be Cr Pd
2 2 2
Direct
0.2500 0.2500 0.2500 Be
0.7500 0.7500 0.7500 Be
0.1612 0.8388 0.1612 Cr
0.8388 0.1612 0.8388 Cr
0.3459 0.3459 0.6541 Pd
0.6541 0.6541 0.3459 Pd
```

Energy of formation from the pure elements, kJ per mole of atoms: -6.3
Total moment, μB per formula unit: 0.0
Symmetry: No. 69



(5)
Compound: BeCrPd3
Source: Alexandria via LeMat-Bulk
Functional: PBE
Structure: optimized geometry

Cell and atoms, written as POSCAR:
```
BeCrPd3
1.0
4.1815 0.0000 0.0000
0.0000 4.1815 0.0000
0.0000 0.0000 4.1815
Be Cr Pd
1 1 3
Direct
0.0000 0.0000 0.0000 Be
0.5000 0.5000 0.5000 Cr
0.0000 0.0000 0.5000 Pd
0.0000 0.5000 0.0000 Pd
0.5000 0.0000 0.0000 Pd
```

Energy of formation from the pure elements, kJ per mole of atoms: 36.4
Total moment, μB per formula unit: 0.6
Symmetry: No. 221



(6)
Compound: BeCrPd
Source: Alexandria via LeMat-Bulk
Functional: PBE
Structure: optimized geometry

Cell and atoms, written as POSCAR:
```
BeCrPd
1.0
2.7908 0.0000 0.0000
0.0000 2.8992 0.0000
-0.3164 0.0000 8.7586
Be Cr Pd
2 2 2
Direct
0.2434 0.2500 0.4327 Be
0.7566 0.7500 0.5673 Be
0.1790 0.2500 0.0741 Cr
0.8210 0.7500 0.9259 Cr
0.2687 0.2500 0.7102 Pd
0.7313 0.7500 0.2898 Pd
```

Energy of formation from the pure elements, kJ per mole of atoms: -12.5
Total moment, μB per formula unit: 0.0
Symmetry: No. 11



(7)
Compound: BeCrPd
Source: Alexandria via LeMat-Bulk
Functional: PBE
Structure: optimized geometry

Cell and atoms, written as POSCAR:
```
BeCrPd
1.0
4.5045 -1.4963 0.0000
4.5045 1.4963 0.0000
-2.0721 0.0000 5.2989
Be Cr Pd
2 2 2
Direct
0.0000 0.0000 0.0000 Be
0.6737 0.6737 0.3075 Be
0.0026 0.0026 0.4578 Cr
0.3719 0.3719 0.1939 Cr
0.3231 0.3231 0.6458 Pd
0.6530 0.6530 0.8732 Pd
```

Energy of formation from the pure elements, kJ per mole of atoms: -9.3
Total moment, μB per formula unit: 0.0
Symmetry: No. 8



(8)
Compound: BeCrPd
Source: Alexandria via LeMat-Bulk
Functional: PBE
Structure: optimized geometry

Cell and atoms, written as POSCAR:
```
BeCrPd
1.0
2.7201 0.0000 0.0000
0.0000 3.8976 0.0000
-0.0061 -1.9401 6.7121
Be Cr Pd
2 2 2
Direct
0.0000 0.0000 0.0000 Be
0.5004 0.1315 0.2623 Be
0.4996 0.4519 0.9037 Cr
0.5039 0.8551 0.7120 Cr
0.0007 0.6229 0.2451 Pd
0.0020 0.2749 0.5506 Pd
```

Energy of formation from the pure elements, kJ per mole of atoms: -2.8
Total moment, μB per formula unit: 0.0
Symmetry: No. 1